[1]
# PBEsol Sc3CrAu, optimized geometry
# **Formation energy from the elements**: 0.5031 eV/atom
data_Sc3CrAu
_cell_length_a 5.0979
_cell_length_b 5.0979
_cell_length_c 5.0979
_cell_angle_alpha 90.00
_cell_angle_beta 90.00
_cell_angle_gamma 90.00
_space_group_name_H-M_alt 'P m -3 m'
_space_group_IT_number 221
_space_group_name_Hall '-P 4 2 3'
loop_
_atom_site_label
_atom_site_fract_x
_atom_site_fract_y
_atom_site_fract_z
Sc1 0.0000 0.0000 0.5000
Cr1 0.5000 0.5000 0.5000
Au1 0.0000 0.0000 0.0000



[2]
# PBEsol Sr3Li, optimized geometry
# **Distance to the lowest polymorph of the same formula**: 35 meV/atom
# **Formation energy from the elements**: 0.0748 eV/atom
data_Sr3Li
_cell_length_a 8.0101
_cell_length_b 8.0101
_cell_length_c 13.0269
_cell_angle_alpha 90.00
_cell_angle_beta 90.00
_cell_angle_gamma 120.00
_space_group_name_H-M_alt 'P 63/m m c'
_space_group_IT_number 194
_space_group_name_Hall '-P 6c 2c'
loop_
_atom_site_label
_atom_site_fract_x
_atom_site_fract_y
_atom_site_fract_z
Sr1 0.0000 0.5000 0.0000
Sr2 0.1648 0.3295 0.2500
Li1 0.0000 0.0000 0.0000
Li2 0.3333 0.6667 0.7500



[3]
# PBEsol Zr3Os2, optimized geometry
# **Formation energy from the elements**: -0.3612 eV/atom
data_Zr3Os2
_cell_length_a 4.5142
_cell_length_b 4.5142
_cell_length_c 5.5864
_cell_angle_alpha 90.00
_cell_angle_beta 90.00
_cell_angle_gamma 120.00
_space_group_name_H-M_alt 'P -3 m 1'
_space_group_IT_number 164
_space_group_name_Hall '-P 3 2"'
loop_
_atom_site_label
_atom_site_fract_x
_atom_site_fract_y
_atom_site_fract_z
Zr1 0.0000 0.0000 0.0000
Zr2 0.3333 0.6667 0.3426
Os1 0.3333 0.6667 0.8337



[4]
# PBEsol Sr2ZnCl, optimized geometry
# **Formation energy without anion corrections**: -0.8966 eV per atom
# **Distance to the lowest polymorph of the same formula**: 0 meV/atom
data_Sr2ZnCl
_cell_length_a 3.9624
_cell_length_b 3.7793
_cell_length_c 8.3532
_cell_angle_alpha 90.00
_cell_angle_beta 90.19
_cell_angle_gamma 90.00
_space_group_name_H-M_alt 'P 1 2/m 1'
_space_group_IT_number 10
_space_group_name_Hall '-P 2y'
loop_
_atom_site_label
_atom_site_fract_x
_atom_site_fract_y
_atom_site_fract_z
Sr1 0.0017 0.0000 0.2231
Zn1 0.5000 0.5000 0.0000
Cl1 0.0000 0.5000 0.5000



[5]
# PBEsol Li3SbBr, optimized geometry
# **Formation energy without anion corrections**: -0.6413 eV per atom
data_Li3SbBr
_cell_length_a 4.7791
_cell_length_b 4.7791
_cell_length_c 4.7791
_cell_angle_alpha 90.00
_cell_angle_beta 90.00
_cell_angle_gamma 90.00
_space_group_name_H-M_alt 'P m -3 m'
_space_group_IT_number 221
_space_group_name_Hall '-P 4 2 3'
loop_
_atom_site_label
_atom_site_fract_x
_atom_site_fract_y
_atom_site_fract_z
Li1 0.0000 0.0000 0.5000
Sb1 0.5000 0.5000 0.5000
Br1 0.0000 0.0000 0.0000



[6]
# PBEsol MnBe2Al, optimized geometry
# **Formation energy from the elements**: 0.1345 eV/atom
data_MnBe2Al
_cell_length_a 5.5556
_cell_length_b 5.5556
_cell_length_c 5.5556
_cell_angle_alpha 90.00
_cell_angle_beta 90.00
_cell_angle_gamma 90.00
_space_group_name_H-M_alt 'F -4 3 m'
_space_group_IT_number 216
_space_group_name_Hall 'F -4 2 3'
loop_
_atom_site_label
_atom_site_fract_x
_atom_site_fract_y
_atom_site_fract_z
Mn1 0.0000 0.0000 0.0000
Be1 0.0000 0.0000 0.5000
Be2 0.2500 0.2500 0.2500
Al1 0.2500 0.2500 0.7500



[7]
# PBEsol ZnAgAu2, optimized geometry
# **Formation energy from the elements**: -0.1285 eV/atom
data_ZnAgAu2
_cell_length_a 5.6464
_cell_length_b 7.7321
_cell_length_c 2.9468
_cell_angle_alpha 90.00
_cell_angle_beta 90.00
_cell_angle_gamma 90.00
_space_group_name_H-M_alt 'C m m m'
_space_group_IT_number 65
_space_group_name_Hall '-C 2 2'
loop_
_atom_site_label
_atom_site_fract_x
_atom_site_fract_y
_atom_site_fract_z
Zn1 0.0000 0.0000 0.0000
Ag1 0.0000 0.5000 0.0000
Au1 0.2500 0.2500 0.5000



[8]
# PBEsol ScCd2Se, optimized geometry
# **Formation energy without anion corrections**: -0.3061 eV per atom
data_ScCd2Se
_cell_length_a 6.9178
_cell_length_b 6.9178
_cell_length_c 6.9178
_cell_angle_alpha 90.00
_cell_angle_beta 90.00
_cell_angle_gamma 90.00
_space_group_name_H-M_alt 'F -4 3 m'
_space_group_IT_number 216
_space_group_name_Hall 'F -4 2 3'
loop_
_atom_site_label
_atom_site_fract_x
_atom_site_fract_y
_atom_site_fract_z
Sc1 0.0000 0.0000 0.0000
Cd1 0.0000 0.0000 0.5000
Cd2 0.2500 0.2500 0.7500
Se1 0.2500 0.2500 0.2500



[9]
# PBEsol LaMg2Sb, optimized geometry
# **Formation energy without anion corrections**: -0.3696 eV per atom
data_LaMg2Sb
_cell_length_a 4.4526
_cell_length_b 4.7569
_cell_length_c 9.9590
_cell_angle_alpha 90.00
_cell_angle_beta 90.00
_cell_angle_gamma 90.00
_space_group_name_H-M_alt 'I m m 2'
_space_group_IT_number 44
_space_group_name_Hall 'I 2 -2'
loop_
_atom_site_label
_atom_site_fract_x
_atom_site_fract_y
_atom_site_fract_z
La1 0.0000 0.0000 0.0000
Mg1 0.0000 0.0000 0.4616
Mg2 0.0000 0.5000 0.2402
Sb1 0.0000 0.5000 0.7472



[10]
# PBEsol LiPb3W, optimized geometry
# **Distance to the lowest polymorph of the same formula**: 641 meV/atom
# **Formation energy from the elements**: 1.2240 eV/atom
data_LiPb3W
_cell_length_a 4.9677
_cell_length_b 4.9677
_cell_length_c 4.9677
_cell_angle_alpha 90.00
_cell_angle_beta 90.00
_cell_angle_gamma 90.00
_space_group_name_H-M_alt 'P m -3 m'
_space_group_IT_number 221
_space_group_name_Hall '-P 4 2 3'
loop_
_atom_site_label
_atom_site_fract_x
_atom_site_fract_y
_atom_site_fract_z
Li1 0.0000 0.0000 0.0000
Pb1 0.0000 0.0000 0.5000
W1 0.5000 0.5000 0.5000



[11]
# PBEsol RbTlPb, optimized geometry
# **Formation energy from the elements**: -0.1604 eV/atom
data_RbTlPb
_cell_length_a 4.9456
_cell_length_b 4.9456
_cell_length_c 9.0795
_cell_angle_alpha 90.00
_cell_angle_beta 90.00
_cell_angle_gamma 90.00
_space_group_name_H-M_alt 'P 4/n m m'
_space_group_IT_number 129
loop_
_space_group_symop_operation_xyz
'x,y,z'
'-x,-y,-z'
'-y+1/2,x,z'
'y+1/2,-x,-z'
'-x+1/2,-y+1/2,z'
'x+1/2,y+1/2,-z'
'y,-x+1/2,z'
'-y,x+1/2,-z'
'x+1/2,-y,-z'
'-x+1/2,y,z'
'-y,-x,-z'
'y,x,z'
'-x,y+1/2,-z'
'x,-y+1/2,z'
'y+1/2,x+1/2,-z'
'-y+1/2,-x+1/2,z'
loop_
_atom_site_label
_atom_site_fract_x
_atom_site_fract_y
_atom_site_fract_z
Rb1 0.2500 0.2500 0.1619
Tl1 0.2500 0.2500 0.7278
Pb1 0.2500 0.7500 0.5000



[12]
# PBEsol CrTcW2, optimized geometry
# **Distance to the lowest polymorph of the same formula**: 0 meV/atom
# **Formation energy from the elements**: 0.0579 eV/atom
data_CrTcW2
_cell_length_a 6.1010
_cell_length_b 6.1010
_cell_length_c 6.1010
_cell_angle_alpha 90.00
_cell_angle_beta 90.00
_cell_angle_gamma 90.00
_space_group_name_H-M_alt 'F m -3 m'
_space_group_IT_number 225
_space_group_name_Hall '-F 4 2 3'
loop_
_atom_site_label
_atom_site_fract_x
_atom_site_fract_y
_atom_site_fract_z
Cr1 0.0000 0.0000 0.0000
Tc1 0.0000 0.0000 0.5000
W1 0.2500 0.2500 0.2500



Which formula does entry 1 have?
Sc3CrAu